1) Computed, not measured: a relaxed structure of CsMgPt at the PBE-GGA level of DFT.

Summary:
The space group is F-43m, No. 216. The crystal system is cubic.

The structure in extended XYZ format:
```
3
Lattice="-1.801 -4.822 -1.553 0.842 -4.310 3.101 -4.115 -2.294 2.589" Properties=species:S:1:pos:R:3 pbc="T T T"
Pt -3.806 -8.570 3.103
Mg -1.269 -2.857 1.034
Cs 0.000 0.000 0.000
```

---

2) Computed, not measured: a relaxed structure of CsMgPt at the PBE-GGA level of DFT.

Summary:
The space group is Cmc2_1, No. 36. The crystal system is orthorhombic.

The structure in extended XYZ format:
```
6
Lattice="1.633 -6.876 0.000 1.633 6.876 0.000 0.000 0.000 8.436" Properties=species:S:1:pos:R:3 pbc="T T T"
Mg 1.633 6.241 0.708
Cs 1.633 -2.549 6.089
Cs 1.633 2.549 1.871
Pt 1.633 -5.707 7.384
Pt 1.633 5.707 3.166
Mg 1.633 -6.241 4.926
```

---

Pick 2): it beats the second-best structure by 801 meV/atom.